[1]
Density functional theory data (PBE) for crystalline BeGaSb2I at its relaxed geometry.

Lattice parameters (Å, degrees): 4.8710 4.8710 5.8404 90.00 90.00 90.00
Last column: nearest neighbours and their distance in Å.
Positions (direct):
Ga 0.5000 0.5000 0.5000  4 I 3.44, 8 Sb 3.80
Be 0.0000 0.0000 0.0000  4 Sb 2.44
I 0.0000 0.0000 0.5000  2 Be 2.92
Sb 0.5000 0.0000 0.0000  2 Be 2.44
Sb 0.0000 0.5000 0.0000  2 Be 2.44

Properties
Volume   27.71 Å³ per atom
Space group   No. 123
Energy relative to the lowest polymorph listed for this composition   0.000 eV per atom
Uncorrected formation energy   392 meV per atom

[2]
Density functional theory data (PBE) for crystalline NdDySI at its relaxed geometry.

Lattice parameters (Å, degrees): 3.9835 3.9863 8.1522 90.00 104.08 120.02
Last column: nearest neighbours and their distance in Å.
Positions (direct):
Dy 0.0985 0.9472 0.0611  3 S 2.70
Nd 0.5077 0.1518 0.6747  3 S 2.81
S 0.3124 0.5541 0.8815  3 Dy 2.70, 3 Nd 2.81
I 0.9593 0.3777 0.3523  3 Dy 3.24, 3 Nd 3.41-3.42

Properties
Volume   26.89 Å³ per atom
Space group   No. 8
Uncorrected formation energy   -1390 meV per atom

[3]
Density functional theory data (PBE) for crystalline Ca2Sm3YSe6 at its relaxed geometry.

Lattice parameters (Å, degrees): 7.1726 7.1726 7.2826 99.47 99.47 120.06
Last column: nearest neighbours and their distance in Å.
Positions (direct):
Sm 0.8296 0.1704 0.5000  6 Se 2.95-2.98
Sm 0.5000 0.5000 0.5000  6 Se 2.97
Sm 0.1704 0.8296 0.5000  6 Se 2.95-2.98
Se 0.9192 0.5879 0.7576  1 Y 2.90, 2 Ca 2.92, 3 Sm 2.95-2.97
Se 0.2484 0.2484 0.7520  1 Y 2.92, 2 Ca 2.94, 3 Sm 2.97-2.98
Se 0.0808 0.4121 0.2424  1 Y 2.90, 2 Ca 2.92, 3 Sm 2.95-2.97
Se 0.7516 0.7516 0.2480  1 Y 2.92, 2 Ca 2.94, 3 Sm 2.97-2.98
Se 0.4121 0.0808 0.2424  1 Y 2.90, 2 Ca 2.92, 3 Sm 2.95-2.97
Se 0.5879 0.9192 0.7576  1 Y 2.90, 2 Ca 2.92, 3 Sm 2.95-2.97
Y 0.0000 0.0000 0.0000  6 Se 2.90-2.92
Ca 0.3335 0.6665 0.0000  6 Se 2.92-2.94
Ca 0.6665 0.3335 0.0000  6 Se 2.92-2.94

Properties
Volume   25.52 Å³ per atom
Space group   No. 12
Uncorrected formation energy   -1862 meV per atom

[4]
Density functional theory data (PBE) for crystalline AcTm3Cd2 at its relaxed geometry.

Lattice parameters (Å, degrees): 3.7214 3.7214 12.6639 90.00 90.00 90.00
Last column: nearest neighbours and their distance in Å.
Positions (direct):
Cd 0.5000 0.5000 0.1446  8 Tm 3.21
Cd 0.5000 0.5000 0.8554  8 Tm 3.21
Ac 0.5000 0.5000 0.5000  4 Ac 3.72, 8 Tm 3.74
Tm 0.0000 0.0000 0.0000  8 Cd 3.21
Tm 0.0000 0.0000 0.7104  4 Cd 3.21
Tm 0.0000 0.0000 0.2896  4 Cd 3.21

Properties
Volume   29.23 Å³ per atom
Space group   No. 123
Energy relative to the lowest polymorph listed for this composition   0.000 eV per atom

Which formula does entry 1 have?
BeGaSb2I